Ce3TlPt8 | Alexandria via LeMat-Bulk | PBE | optimized geometry; total energy = -6.604 eV/atom; energy of formation = -0.8960 eV per atom; calculated volume = 19.38 Å³/atom
1.0
5.242 0.000 1.583
2.382 4.670 1.583
-0.007 -0.004 9.497
Pt Ce Tl
8 3 1
Direct
0.688 0.688 0.936
0.438 0.942 0.182
0.188 0.188 0.436
0.434 0.938 0.691
0.938 0.938 0.691
0.938 0.434 0.691
0.942 0.438 0.182
0.438 0.438 0.182
0.994 0.994 0.017
0.504 0.504 0.487
0.377 0.377 0.868
0.870 0.870 0.389